<one>
Here is a relaxed structure of PmPr4Er5 from the Alexandria database. Energies are from PBE-GGA.

Cell and atoms, written as POSCAR:
```
PmPr4Er5
1.0
3.6254 0.0000 0.0000
0.0000 3.6254 0.0000
0.0000 0.0000 25.1571
Pm Pr Er
1 4 5
direct
0.0000 0.0000 0.0000
0.0000 0.0000 0.1990
0.0000 0.0000 0.3996
0.0000 0.0000 0.6004
0.0000 0.0000 0.8010
0.5000 0.5000 0.0985
0.5000 0.5000 0.2992
0.5000 0.5000 0.5000
0.5000 0.5000 0.7008
0.5000 0.5000 0.9015
```

---

<two>
Here is a relaxed structure of PmPr4Er5 from the Alexandria database. Energies are from PBE-GGA.

Cell and atoms, written as POSCAR:
```
PmPr4Er5
1.0
3.5940 0.0000 0.0000
-1.7880 8.3931 0.0000
-0.0264 -0.9660 11.2853
Pm Pr Er
1 4 5
direct
0.0000 0.0000 0.0000
0.0389 0.0761 0.7402
0.3540 0.7096 0.7531
0.6460 0.2904 0.2469
0.9611 0.9239 0.2598
0.1785 0.3551 0.5571
0.3095 0.6191 0.1112
0.5000 0.0000 0.5000
0.6905 0.3809 0.8888
0.8215 0.6449 0.4429
```

---

Relative to the most stable structure, the computed energies are <one> 0; <two> 156, all in meV/atom.

---

<one>
Here is a relaxed structure of Pm2Pr8Er3 from the Alexandria database. Energies are from PBE-GGA.

Cell and atoms, written as POSCAR:
```
Pm2Pr8Er3
1.0
10.3769 -3.8767 0.0000
10.3769 3.8767 0.0000
-0.0022 0.0000 5.7533
Pm Pr Er
2 8 3
direct
0.2395 0.2395 0.4989
0.7605 0.7605 0.5011
0.1294 0.1294 0.9994
0.1928 0.6000 0.5000
0.3276 0.3276 0.9993
0.4000 0.8072 0.5000
0.6000 0.1928 0.5000
0.6724 0.6724 0.0007
0.8072 0.4000 0.5000
0.8706 0.8706 0.0006
0.0000 0.0000 0.5000
0.2847 0.7153 0.0000
0.7153 0.2847 0.0000
```

---

<two>
Here is a relaxed structure of Pm2Pr8Er3 from the Alexandria database. Energies are from PBE-GGA.

Cell and atoms, written as POSCAR:
```
Pm2Pr8Er3
1.0
6.7802 -5.9307 0.0000
6.7802 5.9307 0.0000
-2.4873 0.0000 5.6580
Pm Pr Er
2 8 3
direct
0.1885 0.1885 0.3367
0.8115 0.8115 0.6633
0.0855 0.0855 0.7597
0.1006 0.5771 0.3455
0.3620 0.3620 0.8912
0.4229 0.8994 0.6545
0.5771 0.1006 0.3455
0.6380 0.6380 0.1088
0.8994 0.4229 0.6545
0.9145 0.9145 0.2403
0.2338 0.7662 0.0000
0.5000 0.5000 0.5000
0.7662 0.2338 0.0000
```

---

Relative to the most stable structure, the computed energies are <one> 38; <two> 0, all in meV/atom.

---

<one>
Here is a relaxed structure of Pm3Pr3Er2 from the Alexandria database. Energies are from PBE-GGA.

Cell and atoms, written as POSCAR:
```
Pm3Pr3Er2
1.0
5.8662 0.0000 0.0000
0.0000 14.7552 0.0000
0.0000 0.0000 6.3619
Pm Pr Er
6 6 4
direct
0.2500 0.1248 0.1677
0.2500 0.3752 0.1677
0.2500 0.7500 0.6609
0.7500 0.2500 0.3391
0.7500 0.6248 0.8323
0.7500 0.8752 0.8323
0.2500 0.0000 0.6685
0.2500 0.2500 0.6734
0.2500 0.5000 0.6685
0.7500 0.0000 0.3315
0.7500 0.5000 0.3315
0.7500 0.7500 0.3266
0.2500 0.6263 0.1626
0.2500 0.8737 0.1626
0.7500 0.1263 0.8374
0.7500 0.3737 0.8374
```

---

<two>
Here is a relaxed structure of Pm3Pr3Er2 from the Alexandria database. Energies are from PBE-GGA.

Cell and atoms, written as POSCAR:
```
Pm3Pr3Er2
1.0
8.3512 -2.9099 0.0000
8.3512 2.9099 0.0000
-2.1870 0.0000 5.6598
Pm Pr Er
3 3 2
direct
0.0000 0.0000 0.0000
0.1346 0.1346 0.5803
0.8654 0.8654 0.4197
0.3647 0.3647 0.8088
0.5000 0.5000 0.5000
0.6353 0.6353 0.1912
0.2497 0.2497 0.1821
0.7503 0.7503 0.8179
```

---

Relative to the most stable structure, the computed energies are <one> 0; <two> 41, all in meV/atom.

---

<one>
Here is a relaxed structure of Pm2Pr4Er3 from the Alexandria database. Energies are from PBE-GGA.

Cell and atoms, written as POSCAR:
```
Pm2Pr4Er3
1.0
3.6325 0.0000 0.0000
1.8125 7.9333 0.0000
0.0030 2.4863 10.5668
Pm Pr Er
2 4 3
direct
0.1670 0.1670 0.2239
0.8330 0.8330 0.7761
0.1655 0.1683 0.8888
0.4995 0.5015 0.6651
0.5005 0.4985 0.3349
0.8345 0.8317 0.1112
0.1682 0.1630 0.5540
0.5000 0.5000 0.0000
0.8318 0.8370 0.4460
```

---

<two>
Here is a relaxed structure of Pm2Pr4Er3 from the Alexandria database. Energies are from PBE-GGA.

Cell and atoms, written as POSCAR:
```
Pm2Pr4Er3
1.0
3.6357 0.0000 0.0000
-1.8178 3.1486 0.0000
0.0000 0.0000 27.0910
Pm Pr Er
2 4 3
direct
0.0000 0.0000 0.0000
0.0000 0.0000 0.2092
0.0000 0.0000 0.3424
0.0000 0.0000 0.5549
0.3333 0.6667 0.6717
0.3333 0.6667 0.8860
0.0000 0.0000 0.7786
0.3333 0.6667 0.1059
0.3333 0.6667 0.4472
```

---

Relative to the most stable structure, the computed energies are <one> 0; <two> 37, all in meV/atom.